Entry 1:
Material: LiLaBr
Method: DFT, PBEsol
State: relaxed

As for the size of the total moment: 0.1 μB per formula unit. For the raw formation energy, the calculation gives -0.702 eV per atom. For the energy relative to the lowest polymorph listed for this composition, the calculation gives 0.076 eV/atom. Its electronic total energy is -0.138 Ha/atom.

It has space group Fmm2 (No. 42), with a = 3.7264 Å, b = 6.0898 Å, c = 14.6349 Å, α = 90.00°, β = 90.00° and γ = 90.00°. The distinct sites, in fractional coordinates, are Li at (0.0000, 0.0000, 0.0000), La at (0.0000, 0.0000, 0.7118) and Br at (0.0000, 0.0000, 0.3802).

=====

Entry 2:
Material: Li2LaBr
Method: DFT, PBEsol
State: relaxed

As for the size of the total moment: 0.0 μB per formula unit. For the raw formation energy, the calculation gives -0.451 eV per atom. Its electronic total energy is -0.119 Ha/atom.

It has space group I4/mmm (No. 139), with a = 4.1784 Å, b = 4.1784 Å, c = 12.3112 Å, α = 90.00°, β = 90.00° and γ = 90.00°. The distinct sites, in fractional coordinates, are Li at (0.0000, 0.5000, 0.2500), La at (0.0000, 0.0000, 0.0000) and Br at (0.0000, 0.0000, 0.5000).

=====

Entry 3:
Material: Li2LaBr
Method: DFT, PBEsol
State: relaxed

As for the size of the total moment: 0.0 μB per formula unit. For the raw formation energy, the calculation gives -0.474 eV per atom. Its electronic total energy is -0.120 Ha/atom.

It has space group P2/m (No. 10), with a = 4.1671 Å, b = 5.4597 Å, c = 4.2902 Å, α = 90.00°, β = 92.55° and γ = 90.00°. The distinct sites, in fractional coordinates, are Li at (0.2127, 0.0000, 0.2802), La at (0.5000, 0.5000, 0.0000) and Br at (0.0000, 0.5000, 0.5000).

=====

Entry 4:
Material: LiLaBr
Method: DFT, PBEsol
State: relaxed

As for the size of the total moment: 0.0 μB per formula unit. For the raw formation energy, the calculation gives -0.778 eV per atom. For the energy relative to the lowest polymorph listed for this composition, the calculation gives 0.000 eV/atom. Its electronic total energy is -0.141 Ha/atom.

It has space group P3m1 (No. 156), with a = 3.6194 Å, b = 3.6194 Å, c = 7.2123 Å, α = 90.00°, β = 90.00° and γ = 120.00°. The distinct sites, in fractional coordinates, are Li at (0.0000, 0.0000, 0.0000), La at (0.6667, 0.3333, 0.4415) and Br at (0.3333, 0.6667, 0.7638).

=====

Entry 5:
Material: LiLaBr
Method: DFT, PBEsol
State: relaxed

As for the size of the total moment: 0.9 μB per formula unit. For the raw formation energy, the calculation gives -0.480 eV per atom. For the energy relative to the lowest polymorph listed for this composition, the calculation gives 0.298 eV/atom. Its electronic total energy is -0.130 Ha/atom.

It has space group F-43m (No. 216), with a = 6.9418 Å, b = 6.9418 Å, c = 6.9418 Å, α = 90.00°, β = 90.00° and γ = 90.00°. The distinct sites, in fractional coordinates, are Li at (0.0000, 0.0000, 0.0000), La at (0.0000, 0.0000, 0.5000) and Br at (0.2500, 0.2500, 0.7500).

=====

Entry 6:
Material: La2MgBr
Method: DFT, PBEsol
State: relaxed

As for the size of the total moment: 0.0 μB per formula unit. For the raw formation energy, the calculation gives -0.487 eV per atom. For the energy relative to the lowest polymorph listed for this composition, the calculation gives 0.000 eV/atom. Its electronic total energy is -0.149 Ha/atom.

It has space group Imm2 (No. 44), with a = 3.5946 Å, b = 5.4627 Å, c = 11.9349 Å, α = 90.00°, β = 90.00° and γ = 90.00°. The distinct sites, in fractional coordinates, are La at (0.0000, 0.0000, 0.0000), La at (0.0000, 0.5000, 0.2345), Mg at (0.0000, 0.5000, 0.7830) and Br at (0.0000, 0.0000, 0.5202).

=====

Entry 7:
Material: LaMg2Br
Method: DFT, PBEsol
State: relaxed

As for the size of the total moment: 0.0 μB per formula unit. For the raw formation energy, the calculation gives -0.483 eV per atom. Its electronic total energy is -0.116 Ha/atom.

It has space group I4/mmm (No. 139), with a = 4.2521 Å, b = 4.2521 Å, c = 11.8627 Å, α = 90.00°, β = 90.00° and γ = 90.00°. The distinct sites, in fractional coordinates, are La at (0.0000, 0.0000, 0.0000), Mg at (0.0000, 0.5000, 0.2500) and Br at (0.0000, 0.0000, 0.5000).

=====

Entry 8:
Material: La2MgBr
Method: DFT, PBEsol
State: relaxed

As for the size of the total moment: 0.0 μB per formula unit. For the raw formation energy, the calculation gives -0.446 eV per atom. For the energy relative to the lowest polymorph listed for this composition, the calculation gives 0.041 eV/atom. Its electronic total energy is -0.148 Ha/atom.

It has space group Cmm2 (No. 35), with a = 3.8195 Å, b = 6.0650 Å, c = 10.3125 Å, α = 90.00°, β = 90.00° and γ = 90.00°. The distinct sites, in fractional coordinates, are La at (0.0000, 0.0000, 0.0000), La at (0.0000, 0.5000, 0.2782), Mg at (0.0000, 0.5000, 0.7323) and Br at (0.0000, 0.0000, 0.5141).